Record 1
VASP calculation (GGA-PBE) on an optimized crystal structure of Re2TcMo.

Summary:
* relative energy among the computed polymorphs: 62 meV per atom
* formation enthalpy at 0 K: 0.169 eV/atom
* uncorrected energy: -45.42 eV per formula unit

Unit cell a=3.1233 b=4.4103 c=8.8433 alpha=90.00 beta=90.00 gamma=90.00
With the nearest neighbours (Å) after each atom.
Space group Immm (No. 71)
Inequivalent atoms, fractional coordinates:
Re  0.0000  0.0000  0.2391 (multiplicity 4)  2 Mo 2.63, 4 Re 2.71, 2 Tc 2.79
Tc  0.0000  0.5000  0.0000 (multiplicity 2)  4 Mo 2.70, 4 Re 2.79
Mo  0.0000  0.5000  0.5000 (multiplicity 2)  4 Re 2.63, 4 Tc 2.70

Record 2
VASP calculation (GGA-PBE) on an optimized crystal structure of ReTc2Mo.

Summary:
* relative energy among the computed polymorphs: 9 meV per atom
* formation enthalpy at 0 K: 0.119 eV/atom
* uncorrected energy: -43.54 eV per formula unit

Unit cell a=5.5645 b=7.8173 c=2.7663 alpha=90.00 beta=90.00 gamma=90.00
With the nearest neighbours (Å) after each atom.
Space group Cmmm (No. 65)
Inequivalent atoms, fractional coordinates:
Re  0.0000  0.0000  0.0000 (multiplicity 2)  2 Re 2.77, 8 Tc 2.77, 2 Mo 2.78
Tc  0.2500  0.2500  0.5000 (multiplicity 4)  4 Tc 2.77-2.78, 4 Re 2.77, 4 Mo 2.77
Mo  0.0000  0.5000  0.0000 (multiplicity 2)  2 Mo 2.77, 8 Tc 2.77, 2 Re 2.78

Record 3
VASP calculation (GGA-PBE) on an optimized crystal structure of ReTc2Mo.

Summary:
* relative energy among the computed polymorphs: 4 meV per atom
* formation enthalpy at 0 K: 0.114 eV/atom
* uncorrected energy: -43.55 eV per formula unit

Unit cell a=2.7707 b=3.9155 c=5.5530 alpha=90.00 beta=90.00 gamma=90.00
With the nearest neighbours (Å) after each atom.
Space group Pmmm (No. 47)
Inequivalent atoms, fractional coordinates:
Re  0.0000  0.0000  0.0000 (multiplicity 1)  8 Tc 2.76, 2 Re 2.77, 2 Mo 2.78
Tc  0.5000  0.5000  0.2452 (multiplicity 2)  4 Tc 2.72-2.83, 4 Re 2.76, 4 Mo 2.78
Mo  0.0000  0.0000  0.5000 (multiplicity 1)  2 Mo 2.77, 2 Re 2.78, 8 Tc 2.78

Record 4
VASP calculation (GGA-PBE) on an optimized crystal structure of ReTcMo6.

Summary:
* formation enthalpy at 0 K: 0.035 eV/atom
* uncorrected energy: -87.52 eV per formula unit

Unit cell a=6.2779 b=8.8824 c=4.4733 alpha=90.00 beta=90.00 gamma=90.00
With the nearest neighbours (Å) after each atom.
Space group Cmmm (No. 65)
Inequivalent atoms, fractional coordinates:
Re  0.0000  0.0000  0.0000 (multiplicity 2)  8 Mo 2.72-2.73
Tc  0.0000  0.5000  0.0000 (multiplicity 2)  8 Mo 2.72-2.74
Mo  0.0000  0.2509  0.5000 (multiplicity 4)  8 Mo 2.72-2.73
Mo  0.2488  0.0000  0.5000 (multiplicity 4)  4 Mo 2.72, 2 Re 2.73, 2 Tc 2.74
Mo  0.2500  0.2500  0.0000 (multiplicity 4)  2 Re 2.72, 2 Tc 2.72, 4 Mo 2.73

Record 5
VASP calculation (GGA-PBE) on an optimized crystal structure of ReTcMo2.

Summary:
* relative energy among the computed polymorphs: 729 meV per atom
* formation enthalpy at 0 K: 0.813 eV/atom
* uncorrected energy: -41.22 eV per formula unit

Unit cell a=7.1430 b=7.1430 c=5.1979 alpha=90.00 beta=90.00 gamma=90.00
With the nearest neighbours (Å) after each atom.
Space group I-42d (No. 122)
Inequivalent atoms, fractional coordinates:
Re  0.0000  0.0000  0.0000 (multiplicity 4)  2 Tc 2.60, 4 Mo 2.61
Tc  0.0000  0.0000  0.5000 (multiplicity 4)  2 Re 2.60, 4 Mo 2.61
Mo  0.2502  0.2500  0.1250 (multiplicity 8)  2 Mo 2.60, 2 Tc 2.61, 2 Re 2.61

Record 6
VASP calculation (GGA-PBE) on an optimized crystal structure of ReTcMo2.

Summary:
* relative energy among the computed polymorphs: 2 meV per atom
* formation enthalpy at 0 K: 0.086 eV/atom
* uncorrected energy: -44.13 eV per formula unit

Unit cell a=6.2649 b=6.2649 c=6.2649 alpha=90.00 beta=90.00 gamma=90.00
With the nearest neighbours (Å) after each atom.
Space group Fm-3m (No. 225)
Inequivalent atoms, fractional coordinates:
Re  0.0000  0.0000  0.0000 (multiplicity 4)  8 Mo 2.71
Tc  0.0000  0.0000  0.5000 (multiplicity 4)  8 Mo 2.71
Mo  0.2500  0.2500  0.2500 (multiplicity 8)  4 Re 2.71, 4 Tc 2.71

Record 7
VASP calculation (GGA-PBE) on an optimized crystal structure of Re8Tc2Mo.

Summary:
* formation enthalpy at 0 K: 0.496 eV/atom
* uncorrected energy: -125.69 eV per formula unit

Unit cell a=6.7955 b=12.7212 c=4.4368 alpha=90.00 beta=114.00 gamma=90.00
With the nearest neighbours (Å) after each atom.
Space group C2/m (No. 12)
Inequivalent atoms, fractional coordinates:
Re  0.0000  0.2093  0.0000 (multiplicity 4)  2 Tc 2.50, 1 Mo 2.66
Re  0.0974  0.5000  0.8031 (multiplicity 4)  6 Re 2.47-2.76, 1 Mo 2.51
Re  0.2122  0.1061  0.6241 (multiplicity 8)  2 Tc 2.53-2.80, 4 Re 2.64-2.76
Tc  0.0000  0.3003  0.5000 (multiplicity 4)  6 Re 2.50-2.80
Mo  0.0000  0.0000  0.0000 (multiplicity 2)  4 Re 2.51-2.66

Record 8
VASP calculation (GGA-PBE) on an optimized crystal structure of ReTc2Mo.

Summary:
* relative energy among the computed polymorphs: 69 meV per atom
* formation enthalpy at 0 K: 0.178 eV/atom
* uncorrected energy: -43.30 eV per formula unit

Unit cell a=3.1265 b=3.1265 c=6.2241 alpha=90.00 beta=90.00 gamma=90.00
With the nearest neighbours (Å) after each atom.
Space group P4mm (No. 99)
Inequivalent atoms, fractional coordinates:
Re  0.0000  0.0000  0.0000 (multiplicity 1)  4 Tc 2.64, 4 Mo 2.77
Tc  0.0000  0.0000  0.5138 (multiplicity 1)  4 Mo 2.60, 4 Tc 2.82
Tc  0.5000  0.5000  0.2317 (multiplicity 1)  4 Re 2.64, 4 Tc 2.82
Mo  0.5000  0.5000  0.7329 (multiplicity 1)  4 Tc 2.60, 4 Re 2.77

Record 9
VASP calculation (GGA-PBE) on an optimized crystal structure of Re2TcMo.

Summary:
* relative energy among the computed polymorphs: 100 meV per atom
* formation enthalpy at 0 K: 0.207 eV/atom
* uncorrected energy: -45.27 eV per formula unit

Unit cell a=6.2416 b=6.2416 c=6.2416 alpha=90.00 beta=90.00 gamma=90.00
With the nearest neighbours (Å) after each atom.
Space group Fm-3m (No. 225)
Inequivalent atoms, fractional coordinates:
Re  0.2500  0.2500  0.2500 (multiplicity 8)  4 Mo 2.70, 4 Tc 2.70
Tc  0.0000  0.0000  0.0000 (multiplicity 4)  8 Re 2.70
Mo  0.0000  0.0000  0.5000 (multiplicity 4)  8 Re 2.70

Record 10
VASP calculation (GGA-PBE) on an optimized crystal structure of ReTcMo2.

Summary:
* relative energy among the computed polymorphs: 125 meV per atom
* formation enthalpy at 0 K: 0.209 eV/atom
* uncorrected energy: -43.64 eV per formula unit

Unit cell a=2.7646 b=2.7646 c=28.0300 alpha=90.00 beta=90.00 gamma=120.00
With the nearest neighbours (Å) after each atom.
Space group R3m (No. 160, hexagonal axes)
Inequivalent atoms, fractional coordinates:
Re  0.0000  0.0000  0.0000 (multiplicity 3)  3 Tc 2.72, 6 Re 2.76, 3 Mo 2.85
Tc  0.0000  0.0000  0.2550 (multiplicity 3)  3 Re 2.72, 6 Tc 2.76, 3 Mo 2.82
Mo  0.0000  0.0000  0.5052 (multiplicity 3)  9 Mo 2.76-2.93, 3 Tc 2.82
Mo  0.0000  0.0000  0.7508 (multiplicity 3)  9 Mo 2.76-2.93, 3 Re 2.85

Record 11
VASP calculation (GGA-PBE) on an optimized crystal structure of ReTcMo2.

Summary:
* relative energy among the computed polymorphs: 14 meV per atom
* formation enthalpy at 0 K: 0.098 eV/atom
* uncorrected energy: -44.08 eV per formula unit

Unit cell a=5.4343 b=8.8677 c=2.7053 alpha=90.00 beta=109.58 gamma=90.00
With the nearest neighbours (Å) after each atom.
Space group C2/m (No. 12)
Inequivalent atoms, fractional coordinates:
Re  0.0000  0.0000  0.0000 (multiplicity 2)  2 Re 2.71, 4 Mo 2.71, 2 Tc 2.72
Tc  0.0000  0.5000  0.0000 (multiplicity 2)  2 Tc 2.71, 4 Mo 2.71, 2 Re 2.72
Mo  0.2500  0.2500  0.5000 (multiplicity 4)  4 Mo 2.71-2.72, 2 Re 2.71, 2 Tc 2.71

Record 12
VASP calculation (GGA-PBE) on an optimized crystal structure of ReTcMo2.

Summary:
* relative energy among the computed polymorphs: 97 meV per atom
* formation enthalpy at 0 K: 0.181 eV/atom
* uncorrected energy: -43.75 eV per formula unit

Unit cell a=3.9628 b=3.9628 c=3.9222 alpha=90.00 beta=90.00 gamma=90.00
With the nearest neighbours (Å) after each atom.
Space group P4/mmm (No. 123)
Inequivalent atoms, fractional coordinates:
Re  0.0000  0.0000  0.0000 (multiplicity 1)  8 Mo 2.79, 4 Tc 2.80
Tc  0.5000  0.5000  0.0000 (multiplicity 1)  8 Mo 2.79, 4 Re 2.80
Mo  0.0000  0.5000  0.5000 (multiplicity 2)  4 Re 2.79, 4 Tc 2.79, 4 Mo 2.80

> Which value of uncorrected energy does entry 9 give?

-45.27 eV per formula unit